{
  "formula": "P3Ir",
  "functional": "PBE-GGA",
  "state": "optimized geometry",
  "spacegroup": "P-6m2 (187)",
  "de_polymorph_ev_per_atom": 1.072,
  "formation_enthalpy_0k_ev_per_atom": 0.428,
  "e_tot_ev_per_atom": -5.84,
  "magnetic_moment_mub_per_cell": 0.00,
  "lattice": [[2.859, 0.000, 0.000], [-1.430, 2.476, 0.000], [0.000, 0.000, 8.586]],
  "species": ["Ir", "P", "P", "P"],
  "fractional_positions": [[0.000, 0.000, 0.000], [0.000, 0.000, 0.500], [0.667, 0.333, 0.219], [0.667, 0.333, 0.781]]
}